An optimized crystal structure of Tm3Ga2SiNi9, computed with PBE-GGA.

As for the total energy: -5.3172 eV per atom. The volume comes out at 251.4 Å³/cell.

The space group is P-3m1 (No. 164) and the conventional cell measures 5.9999, 5.9999 and 8.0634 Å, with angles of 90.00, 90.00 and 120.00 degrees. The distinct sites, in fractional coordinates, are Tm at (0.0000, 0.0000, 0.0000), Tm at (0.3333, 0.6667, 0.6977), Ga at (0.3333, 0.6667, 0.1942), Si at (0.0000, 0.0000, 0.5000), Ni at (0.0000, 0.5000, 0.0000) and Ni at (0.1332, 0.2664, 0.2854).